# 1
First-principles (PBE) data for a relaxed structure of Pr6AsRu2Cl3, as listed in Alexandria.

Structure (CIF):
```
data_Pr6AsRu2Cl3
_chemical_formula_sum 'Pr6 As1 Ru2 Cl3'
_cell_length_a 7.2801
_cell_length_b 7.2801
_cell_length_c 7.8120
_cell_angle_alpha 98.98
_cell_angle_beta 98.98
_cell_angle_gamma 120.01
_space_group_name_H-M_alt 'P 1'
_space_group_IT_number 1
loop_
_space_group_symop_operation_xyz
'x,y,z'
loop_
_atom_site_label
_atom_site_fract_x
_atom_site_fract_y
_atom_site_fract_z
_atom_site_occupancy
Cl1 0.1635 0.8365 0.5000 1
Pr1 0.2823 0.2823 0.7904 1
As1 0.0000 0.0000 0.0000 1
Pr2 0.9311 0.5794 0.7901 1
Cl2 0.5000 0.5000 0.5000 1
Ru1 0.3330 0.6670 0.0000 1
Ru2 0.6670 0.3330 0.0000 1
Pr3 0.0689 0.4206 0.2099 1
Cl3 0.8365 0.1635 0.5000 1
Pr4 0.7177 0.7177 0.2096 1
Pr5 0.4206 0.0689 0.2099 1
Pr6 0.5794 0.9311 0.7901 1
```

Results
Uncorrected formation energy, eV/atom: -1.079
Density, g/cm³: 5.99
DOS(E_F), states/eV/cell: 10.2
Total magnetization, μB/cell: 0.00


# 2
First-principles (PBE) data for a relaxed structure of Pr4AsS2Cl, as listed in Alexandria.

Structure (CIF):
```
data_Pr4AsS2Cl
_chemical_formula_sum 'Pr4 As1 S2 Cl1'
_cell_length_a 5.8839
_cell_length_b 5.8839
_cell_length_c 7.2247
_cell_angle_alpha 114.02
_cell_angle_beta 114.02
_cell_angle_gamma 90.02
_space_group_name_H-M_alt 'P 1'
_space_group_IT_number 1
loop_
_space_group_symop_operation_xyz
'x,y,z'
loop_
_atom_site_label
_atom_site_fract_x
_atom_site_fract_y
_atom_site_fract_z
_atom_site_occupancy
Pr1 0.4369 0.9374 0.0000 1
S1 0.6872 0.1872 0.5000 1
Cl1 0.4374 0.4374 0.0000 1
Pr2 0.6936 0.6936 0.5129 1
As1 0.9369 0.9369 0.0000 1
Pr3 0.9374 0.4369 0.0000 1
Pr4 0.1807 0.1807 0.4871 1
S2 0.1872 0.6872 0.5000 1
```

Results
Uncorrected formation energy, eV/atom: -1.741
Density, g/cm³: 5.99
DOS(E_F), states/eV/cell: 3.8
Total magnetization, μB/cell: 0.00


# 3
First-principles (PBE) data for a relaxed structure of Pr4As2SCl, as listed in Alexandria.

Structure (CIF):
```
data_Pr4As2SCl
_chemical_formula_sum 'Pr4 As2 S1 Cl1'
_cell_length_a 4.2343
_cell_length_b 7.2790
_cell_length_c 7.3905
_cell_angle_alpha 70.57
_cell_angle_beta 90.00
_cell_angle_gamma 90.00
_space_group_name_H-M_alt 'P 1'
_space_group_IT_number 1
loop_
_space_group_symop_operation_xyz
'x,y,z'
loop_
_atom_site_label
_atom_site_fract_x
_atom_site_fract_y
_atom_site_fract_z
_atom_site_occupancy
Cl1 0.5000 0.5000 0.0000 1
Pr1 0.0000 0.7634 0.7333 1
Pr2 0.0000 0.2367 0.2667 1
Pr3 0.5000 0.2446 0.7396 1
S1 0.0000 0.5000 0.5000 1
Pr4 0.5000 0.7554 0.2604 1
As1 0.0000 0.0000 0.0000 1
As2 0.5000 0.0000 0.5000 1
```

Results
Uncorrected formation energy, eV/atom: -1.667
Density, g/cm³: 6.04
DOS(E_F), states/eV/cell: 3.6
Total magnetization, μB/cell: 0.00


# 4
First-principles (PBE) data for a relaxed structure of Pr8As4S3Cl, as listed in Alexandria.

Structure (CIF):
```
data_Pr8As4S3Cl
_chemical_formula_sum 'Pr8 As4 S3 Cl1'
_cell_length_a 8.4708
_cell_length_b 8.4190
_cell_length_c 8.4706
_cell_angle_alpha 120.20
_cell_angle_beta 120.00
_cell_angle_gamma 90.00
_space_group_name_H-M_alt 'P 1'
_space_group_IT_number 1
loop_
_space_group_symop_operation_xyz
'x,y,z'
loop_
_atom_site_label
_atom_site_fract_x
_atom_site_fract_y
_atom_site_fract_z
_atom_site_occupancy
As1 0.5000 0.0000 0.5000 1
Pr1 0.2568 0.7551 0.9983 1
Pr2 0.2568 0.7551 0.5136 1
As2 0.0000 0.0000 0.5000 1
Pr3 0.7432 0.2449 0.4864 1
Pr4 0.7494 0.7483 0.4988 1
S1 0.0000 0.5000 0.5000 1
As3 0.5000 0.0000 0.0000 1
Cl1 0.0000 0.5000 0.0000 1
Pr5 0.2506 0.2517 0.5012 1
As4 0.0000 0.0000 0.0000 1
Pr6 0.7415 0.7551 0.9983 1
Pr7 0.2585 0.2449 0.0017 1
S2 0.5000 0.5000 0.5000 1
Pr8 0.7432 0.2449 0.0017 1
S3 0.5000 0.5000 0.0000 1
```

Results
Uncorrected formation energy, eV/atom: -1.729
Density, g/cm³: 6.08
DOS(E_F), states/eV/cell: 6.4
Total magnetization, μB/cell: 0.00